## PuCd4Hg (PBE)

Data for a geometry-optimized PuCd4Hg structure.

Cell and atoms, written as POSCAR:
```
PuCd4Hg
1.0
5.102 0.000 0.000
-2.551 4.419 0.000
0.000 0.000 6.539
Pu Cd Hg
1 4 1
direct
0.000 0.000 0.500
0.333 0.667 0.254
0.333 0.667 0.746
0.667 0.333 0.254
0.667 0.333 0.746
0.000 0.000 0.000
```

Calculated values
**Excess energy over the best structure of this formula in the dataset**: 0.0000 eV per atom
**Space-group type**: P6/mmm, No. 191
**Formation energy**: -0.04 eV/atom

=====

## POsN2 (PBE)

Data for a geometry-optimized POsN2 structure.

Cell and atoms, written as POSCAR:
```
POsN2
1.0
2.740 -0.023 -0.005
-1.379 3.466 0.006
-1.369 -0.800 5.243
P Os N
1 1 2
direct
0.316 0.272 0.941
0.086 0.238 0.515
0.786 0.648 0.492
0.840 0.165 0.099
```

Calculated values
**Formation energy from raw total energies**: 1.5 eV per formula unit
**Space-group type**: P1, No. 1

=====

## NaHoAu4 (PBE)

Data for a geometry-optimized NaHoAu4 structure.

Cell and atoms, written as POSCAR:
```
NaHoAu4
1.0
-0.466 -5.539 0.681
2.290 -2.474 4.472
-3.278 -2.058 4.047
Na Au Ho
1 4 1
direct
0.250 0.250 0.250
0.625 0.625 0.126
0.625 0.126 0.625
0.625 0.625 0.625
0.126 0.625 0.625
0.000 0.000 0.000
```

Calculated values
**Space-group type**: F-43m, No. 216
**Formation energy**: -0.43 eV/atom

=====

## Rb3Bi2 (PBE)

Data for a geometry-optimized Rb3Bi2 structure.

Cell and atoms, written as POSCAR:
```
Rb3Bi2
1.0
-4.541 -5.485 0.033
2.552 -1.829 -6.392
6.051 -7.410 2.463
Rb Bi
6 4
direct
0.656 0.756 0.518
0.344 0.244 0.482
0.244 0.344 0.982
0.756 0.656 0.018
0.841 0.159 0.750
0.159 0.841 0.250
0.311 0.884 0.843
0.689 0.116 0.157
0.116 0.689 0.657
0.884 0.311 0.343
```

Calculated values
**Space-group type**: C2/c, No. 15
**Formation energy**: -0.32 eV/atom

=====

## AlZn2Se (PBE)

Data for a geometry-optimized AlZn2Se structure.

Cell and atoms, written as POSCAR:
```
AlZn2Se
1.0
10.725 0.044 0.026
10.347 2.821 0.026
10.347 1.407 2.445
Zn Al Se
2 1 1
direct
0.989 0.989 0.989
0.511 0.511 0.511
0.250 0.250 0.250
0.750 0.750 0.750
```

Calculated values
**Formation energy from raw total energies**: 0.6 eV per formula unit
**Excess energy over the best structure of this formula in the dataset**: 0.2915 eV per atom
**Space-group type**: R-3m, No. 166

=====

## SrSe3S (PBE)

Data for a geometry-optimized SrSe3S structure.

Cell and atoms, written as POSCAR:
```
SrSe3S
1.0
4.996 0.000 0.000
0.000 4.996 0.000
0.000 0.000 4.996
Sr S Se
1 1 3
direct
0.500 0.500 0.500
0.000 0.000 0.000
0.000 0.500 0.000
0.000 0.000 0.500
0.500 0.000 0.000
```

Calculated values
**Formation energy from raw total energies**: -2.5 eV per formula unit
**Excess energy over the best structure of this formula in the dataset**: 0.0000 eV per atom
**Space-group type**: Pm-3m, No. 221

=====

These records have density of states at the Fermi level values of 15.4, 1.6, 6.0, 11.7, 1.4, 2.7 states/eV/cell, in the order they appear.